# 1
Computed, not measured: a relaxed AlGaNi14 crystal at the GGA-PBE level of DFT.

Computed properties:
- ΔH_f (0 K): -0.1635 eV/atom
- Crystal system: tetragonal

Cell: 5.0282 5.0282 7.0474 Å, 90.00 90.00 90.00°
Fractional coordinates of all 16 atoms:
Ni: 0.6256 0.6256 0.7546
Ni: 0.8750 0.3750 0.5000
Ni: 0.1244 0.1244 0.7546
Ni: 0.6256 0.6256 0.2454
Ni: 0.6256 0.1244 0.2454
Ni: 0.6256 0.1244 0.7546
Ni: 0.1244 0.6256 0.2454
Ni: 0.1244 0.1244 0.2454
Ni: 0.8750 0.3750 0.0000
Ni: 0.8750 0.8750 0.0000
Ni: 0.3750 0.8750 0.0000
Ni: 0.3750 0.8750 0.5000
Ni: 0.3750 0.3750 0.0000
Ni: 0.1244 0.6256 0.7546
Ga: 0.3750 0.3750 0.5000
Al: 0.8750 0.8750 0.5000


# 2
Computed, not measured: a relaxed NaAlC3 crystal at the GGA-PBE level of DFT.

Computed properties:
- ΔH_f (0 K): 3.5503 eV/atom
- Crystal system: cubic
- Offset from the most stable computed form: 7.548 eV per formula unit

Cell: 4.1976 4.1976 4.1976 Å, 90.00 90.00 90.00°
Fractional coordinates of all 5 atoms:
Al: 0.5000 0.5000 0.5000
C: 0.5000 0.0000 0.0000
C: 0.0000 0.0000 0.5000
C: 0.0000 0.5000 0.0000
Na: 0.0000 0.0000 0.0000


# 3
Computed, not measured: a relaxed CoPSe2 crystal at the GGA-PBE level of DFT.

Computed properties:
- Crystal system: trigonal
- Uncorrected formation energy: 0.01 eV per atom

Cell: 8.1017 8.1017 8.1017 Å, 23.49 23.49 23.49°
Fractional coordinates of all 4 atoms:
P: 0.7636 0.7636 0.7636
Se: 0.2153 0.2153 0.2153
Se: 0.0277 0.0277 0.0277
Co: 0.4934 0.4934 0.4934


# 4
Computed, not measured: a relaxed La8PmEr5 crystal at the GGA-PBE level of DFT.

Computed properties:
- ΔH_f (0 K): 0.2349 eV/atom
- Crystal system: tetragonal

Cell: 8.6572 8.6572 8.6572 Å, 111.46 105.57 111.46°
Fractional coordinates of all 14 atoms:
La: 0.0748 0.7393 0.4729
La: 0.5271 0.6018 0.2663
La: 0.3426 0.2745 0.4345
La: 0.9318 0.0919 0.6574
La: 0.7337 0.2607 0.3355
La: 0.1600 0.7255 0.0682
La: 0.6645 0.3982 0.9252
La: 0.5655 0.9081 0.8400
Er: 0.0339 0.3066 0.1266
Er: 0.8200 0.6934 0.7273
Er: 0.8734 0.9074 0.1800
Er: 0.5000 0.0000 0.5000
Er: 0.2727 0.0926 0.9661
Pm: 0.2500 0.5000 0.7500


# 5
Computed, not measured: a relaxed Hf3ZrIn2 crystal at the GGA-PBE level of DFT.

Computed properties:
- ΔH_f (0 K): 0.3908 eV/atom
- Crystal system: orthorhombic
- Offset from the most stable computed form: 2.963 eV per formula unit

Cell: 3.0634 5.3806 9.0776 Å, 107.24 99.71 90.00°
Fractional coordinates of all 6 atoms:
Hf: 0.1767 0.1767 0.3534
Hf: 0.0000 0.5000 0.0000
Hf: 0.8233 0.8233 0.6466
In: 0.3477 0.3477 0.6954
In: 0.6523 0.6523 0.3046
Zr: 0.0000 0.0000 0.0000


# 6
Computed, not measured: a relaxed CeZr3P4 crystal at the GGA-PBE level of DFT.

Computed properties:
- ΔH_f (0 K): -1.3910 eV/atom
- Crystal system: monoclinic

Cell: 6.6284 6.6197 7.6517 Å, 90.00 90.00 109.54°
Fractional coordinates of all 16 atoms:
Zr: 0.7500 0.5000 0.1307
Zr: 0.2500 0.5000 0.8693
Zr: 0.7500 0.5000 0.6217
Zr: 0.2500 0.5000 0.3783
Zr: 0.2500 0.0000 0.6221
Zr: 0.7500 0.0000 0.3779
Ce: 0.2500 0.0000 0.1268
Ce: 0.7500 0.0000 0.8732
P: 0.4958 0.7450 0.6190
P: 0.5042 0.2550 0.3810
P: 0.0042 0.2550 0.6190
P: 0.5009 0.2620 0.8690
P: 0.9958 0.7450 0.3810
P: 0.0009 0.2620 0.1310
P: 0.9991 0.7380 0.8690
P: 0.4991 0.7380 0.1310


# 7
Computed, not measured: a relaxed SmY4Ir5 crystal at the GGA-PBE level of DFT.

Computed properties:
- ΔH_f (0 K): -0.7393 eV/atom
- Crystal system: tetragonal

Cell: 3.3762 3.3762 17.9674 Å, 90.00 90.00 90.00°
Fractional coordinates of all 10 atoms:
Sm: 0.0000 0.0000 0.0000
Ir: 0.5000 0.5000 0.1038
Ir: 0.5000 0.5000 0.3018
Ir: 0.5000 0.5000 0.5000
Ir: 0.5000 0.5000 0.8962
Ir: 0.5000 0.5000 0.6982
Y: 0.0000 0.0000 0.2025
Y: 0.0000 0.0000 0.4009
Y: 0.0000 0.0000 0.7975
Y: 0.0000 0.0000 0.5991


# 8
Computed, not measured: a relaxed La4Bi2SbPb crystal at the GGA-PBE level of DFT.

Computed properties:
- Crystal system: monoclinic
- Uncorrected formation energy: -0.95 eV per atom

Cell: 4.6500 8.0967 8.1488 Å, 70.86 90.00 90.00°
Fractional coordinates of all 8 atoms:
La: 0.0000 0.7489 0.7469
La: 0.0000 0.2511 0.2531
La: 0.5000 0.7459 0.2538
La: 0.5000 0.2541 0.7462
Sb: 0.0000 0.5000 0.5000
Pb: 0.5000 0.5000 0.0000
Bi: 0.0000 0.0000 0.0000
Bi: 0.5000 0.0000 0.5000


no.,volume (Å³ per atom),density (g/cm³),N(E_F) (states/eV/f.u.)
1,11.14,8.559,24.8
2,14.79,1.931,4.4
3,18.55,5.547,2.8
4,35.55,6.981,21.8
5,23.44,10.109,7.6
6,19.78,5.644,4.7
7,20.48,11.895,4.6
8,36.23,7.462,5.4